Material: AlNi2MoO6
Method: DFT, PBE+U
State: optimized geometry

Calculated values
E: -59.55 eV/cell
DOS at the Fermi energy: 0.0000 states/eV/atom
Density: 4.48 g cm⁻³

Unit cell a=5.1774 b=5.1774 c=4.6458 alpha=90.00 beta=90.00 gamma=90.00
Closest atoms and distances in Å follow each position.
Space group P4mm (No. 99)
Asymmetric unit:
1 Al 0.0000 0.0000 0.0000  5 O 1.74-1.92
2 Ni 0.0000 0.5000 0.3405  4 O 2.05
3 Mo 0.5000 0.5000 0.9862  1 O 1.73
4 O 0.0000 0.0000 0.6256  1 Al 1.74
5 O 0.2458 0.2458 0.1424  1 Al 1.92, 1 Mo 2.00, 2 Ni 2.05
6 O 0.5000 0.5000 0.6128  1 Mo 1.73